No. 1
{
  "formula": "Ba3B3Pb2ClO9",
  "functional": "GGA-PBE",
  "state": "optimized geometry",
  "dft_energy_ev_per_atom": -6.810,
  "spacegroup": "C222_1",
  "lattice_angstrom": [[9.042, -0.005, 0.000], [-2.804, 8.596, 0.000], [0.000, 0.000, 8.018]],
  "species": ["B", "B", "B", "B", "B", "B", "O", "O", "O", "O", "O", "O", "O", "O", "O", "O", "O", "O", "O", "O", "O", "O", "O", "O", "Pb", "Pb", "Pb", "Pb", "Ba", "Ba", "Ba", "Ba", "Ba", "Ba", "Cl", "Cl"],
  "fractional_positions": [[0.375, 0.375, 0.500], [0.006, 0.574, 0.543], [0.994, 0.426, 0.043], [0.426, 0.994, 0.957], [0.574, 0.006, 0.457], [0.625, 0.625, 0.000], [0.142, 0.516, 0.997], [0.970, 0.294, 0.143], [0.858, 0.484, 0.497], [0.698, 0.680, 0.848], [0.536, 0.137, 0.510], [0.706, 0.030, 0.357], [0.320, 0.302, 0.652], [0.484, 0.858, 0.503], [0.294, 0.970, 0.857], [0.137, 0.536, 0.490], [0.516, 0.142, 0.003], [0.506, 0.506, 0.500], [0.494, 0.494, 0.000], [0.302, 0.320, 0.348], [0.680, 0.698, 0.152], [0.863, 0.464, 0.990], [0.030, 0.706, 0.643], [0.464, 0.863, 0.010], [0.026, 0.268, 0.423], [0.732, 0.974, 0.077], [0.974, 0.732, 0.923], [0.268, 0.026, 0.577], [0.766, 0.766, 0.500], [0.348, 0.652, 0.750], [0.642, 0.358, 0.750], [0.652, 0.348, 0.250], [0.358, 0.642, 0.250], [0.234, 0.234, 0.000], [0.945, 0.055, 0.750], [0.055, 0.945, 0.250]]
}

No. 2
{
  "formula": "Ba2YbB2ClO6",
  "functional": "GGA-PBE",
  "state": "optimized geometry",
  "dft_energy_ev_per_atom": -6.937,
  "spacegroup": "P2_1/m",
  "lattice_angstrom": [[-2.539, 0.190, 4.729], [-3.289, -5.384, -1.550], [7.664, -7.342, 4.410]],
  "species": ["B", "B", "B", "B", "O", "O", "O", "O", "O", "O", "O", "O", "O", "O", "O", "O", "Ba", "Ba", "Ba", "Ba", "Cl", "Cl", "Yb", "Yb"],
  "fractional_positions": [[0.250, 0.211, 0.427], [0.750, 0.622, 0.226], [0.250, 0.378, 0.774], [0.750, 0.789, 0.573], [0.469, 0.322, 0.435], [0.531, 0.678, 0.565], [0.750, 0.473, 0.147], [0.529, 0.707, 0.262], [0.471, 0.293, 0.738], [0.750, 0.991, 0.596], [0.029, 0.293, 0.738], [0.031, 0.322, 0.435], [0.250, 0.527, 0.853], [0.971, 0.707, 0.262], [0.969, 0.678, 0.565], [0.250, 0.009, 0.404], [0.250, 0.907, 0.706], [0.750, 0.093, 0.294], [0.750, 0.340, 0.924], [0.250, 0.660, 0.076], [0.750, 0.849, 0.917], [0.250, 0.151, 0.083], [0.750, 0.346, 0.587], [0.250, 0.654, 0.413]]
}

No. 3
{
  "formula": "BaBP2Cl",
  "functional": "GGA-PBE",
  "state": "optimized geometry",
  "dft_energy_ev_per_atom": -4.521,
  "relative_energy_ev_per_atom": 0.0000,
  "spacegroup": "P4/mmm",
  "lattice_angstrom": [[4.191, 0.000, 0.000], [0.000, 4.191, 0.000], [0.000, 0.000, 6.202]],
  "species": ["P", "P", "B", "Cl", "Ba"],
  "fractional_positions": [[0.500, 0.000, 0.000], [0.000, 0.500, 0.000], [0.000, 0.000, 0.000], [0.000, 0.000, 0.500], [0.500, 0.500, 0.500]]
}

No. 4
{
  "formula": "BaBP2Cl",
  "functional": "GGA-PBE",
  "state": "optimized geometry",
  "dft_energy_ev_per_atom": -2.823,
  "relative_energy_ev_per_atom": 1.6975,
  "spacegroup": "P4/mmm",
  "lattice_angstrom": [[-6.016, -0.339, 2.194], [1.899, -4.069, 4.578], [1.062, 4.566, 3.617]],
  "species": ["Ba", "B", "P", "P", "Cl"],
  "fractional_positions": [[0.000, 0.000, 0.000], [0.500, 0.500, 0.500], [0.000, 0.500, 0.000], [0.500, 0.000, 0.000], [0.000, 0.000, 0.500]]
}

No. 5
{
  "formula": "BaBPtCl2",
  "functional": "GGA-PBE",
  "state": "optimized geometry",
  "dft_energy_ev_per_atom": -2.818,
  "spacegroup": "P4/mmm",
  "lattice_angstrom": [[5.835, 0.000, 0.000], [0.000, 5.835, 0.000], [0.000, 0.000, 6.592]],
  "species": ["Cl", "Cl", "Pt", "Ba", "B"],
  "fractional_positions": [[0.500, 0.000, 0.000], [0.000, 0.500, 0.000], [0.500, 0.500, 0.500], [0.000, 0.000, 0.000], [0.000, 0.000, 0.500]]
}

No. 6
{
  "formula": "Rb2BaBCl6",
  "functional": "GGA-PBE",
  "state": "optimized geometry",
  "dft_energy_ev_per_atom": -3.446,
  "spacegroup": "I4/mmm",
  "lattice_angstrom": [[-0.959, -5.400, -5.184], [-4.682, -3.644, 4.663], [-6.956, -1.825, -2.305]],
  "species": ["Cl", "Cl", "Cl", "Cl", "Cl", "Cl", "Rb", "Rb", "Ba", "B"],
  "fractional_positions": [[0.281, 0.281, 0.000], [0.719, 0.719, 0.000], [0.719, 0.719, 0.561], [0.719, 0.281, 0.000], [0.281, 0.719, 0.000], [0.281, 0.281, 0.439], [0.250, 0.750, 0.500], [0.750, 0.250, 0.500], [0.000, 0.000, 0.000], [0.500, 0.500, 0.000]]
}

Size of the total moment
In order: 0.0; 2.1; 0.0; 4.0; 2.4; 1.0
Unit: Bohr magnetons per cell
E_form (uncorrected)
In order: -2.38; -2.74; -0.27; 1.43; 0.85; -1.28
Unit: eV/atom